No. 1
Material: PtRhN
Method: DFT, PBE-GGA
State: optimized geometry

Computed properties:
- formation energy without anion corrections (eV per atom) = 0.338
- excess energy over the best structure of this formula in the dataset (eV per formula unit) = 0.496

Unit cell a=4.2675 b=4.4963 c=4.4963 alpha=78.59 beta=90.00 gamma=90.00
Element x y z (fractional)
Pt1 0.0143 0.2500 0.7500
Pt2 0.9857 0.7500 0.2500
Rh1 0.5000 0.3083 0.3083
Rh2 0.5000 0.8083 0.8083
N1 0.2160 0.9915 0.4915
N2 0.7840 0.4915 0.9915

No. 2
Material: Nd2Al2GaIr5
Method: DFT, PBE-GGA
State: optimized geometry

Computed properties:
- energy of formation (meV per atom) = -608

Unit cell a=10.0053 b=10.0053 c=3.5051 alpha=90.00 beta=90.00 gamma=90.00
Element x y z (fractional)
Nd1 0.1765 0.3235 0.0000
Nd2 0.3235 0.8235 0.0000
Nd3 0.6765 0.1765 0.0000
Nd4 0.8235 0.6765 0.0000
Al1 0.1233 0.6233 0.0000
Al2 0.3767 0.1233 0.0000
Al3 0.6233 0.8767 0.0000
Al4 0.8767 0.3767 0.0000
Ga1 0.0000 0.0000 0.0000
Ga2 0.5000 0.5000 0.0000
Ir1 0.0000 0.5000 0.5000
Ir2 0.0619 0.7949 0.5000
Ir3 0.2051 0.0619 0.5000
Ir4 0.2949 0.5619 0.5000
Ir5 0.4381 0.2949 0.5000
Ir6 0.5000 0.0000 0.5000
Ir7 0.5619 0.7051 0.5000
Ir8 0.7051 0.4381 0.5000
Ir9 0.7949 0.9381 0.5000
Ir10 0.9381 0.2051 0.5000

No. 3
Material: HgOsW2Au
Method: DFT, PBE-GGA
State: optimized geometry

Computed properties:
- energy of formation (meV per atom) = 1757

Unit cell a=4.7595 b=4.7595 c=5.1433 alpha=90.00 beta=90.00 gamma=90.00
Element x y z (fractional)
Hg1 0.0000 0.0000 0.0000
Os1 0.5000 0.5000 0.5000
W1 0.0000 0.5000 0.5000
W2 0.5000 0.0000 0.5000
Au1 0.5000 0.5000 0.0000